VASP calculation (PBE) on Te3Br after structural relaxation.

Values from the calculation:
Energy above the lowest structure with this stoichiometry in eV per atom: 0.1584
Formation energy without anion corrections in meV/atom: 56
Calculated total energy in eV/atom: -2.718

CIF file:
```
data_Te3Br
_chemical_formula_sum 'Te3 Br1'
_cell_length_a 8.0252
_cell_length_b 8.0252
_cell_length_c 8.0252
_cell_angle_alpha 32.37
_cell_angle_beta 32.37
_cell_angle_gamma 32.37
_space_group_name_H-M_alt 'P 1'
_space_group_IT_number 1
loop_
_space_group_symop_operation_xyz
'x,y,z'
loop_
_atom_site_label
_atom_site_type_symbol
_atom_site_fract_x
_atom_site_fract_y
_atom_site_fract_z
Te1 Te 0.0000 0.0000 0.0000
Te2 Te 0.2584 0.2584 0.2584
Te3 Te 0.7416 0.7416 0.7416
Br1 Br 0.5000 0.5000 0.5000
```